No. 1
# SrAg5

An optimized crystal structure of SrAg5 (PBE, Alexandria).

Cell lengths 10.584, 3.760, 6.841 Å; angles 90.00, 107.54, 90.00 degrees
Space group C2/m (No. 12)
Asymmetric unit:
Sr: 0.000 0.000 0.000 x2
Ag: 0.000 0.000 0.500 x2
Ag: 0.166 0.500 0.368 x4
Ag: 0.182 0.500 0.805 x4

Calculated values
energy relative to the elements = -16 meV per atom
total moment = 0.00 μB/f.u.


No. 2
# SrAg

An optimized crystal structure of SrAg (PBE, Alexandria).

Cell lengths 6.354, 6.354, 6.354 Å; angles 90.00, 90.00, 90.00 degrees
Space group P2_13 (No. 198)
Asymmetric unit:
Sr: 0.075 0.075 0.075 x4
Ag: 0.084 0.584 0.916 x4

Calculated values
energy relative to the elements = -170 meV per atom
total moment = 0.00 μB/f.u.